[1]
Below is crystalline KCrCu at its relaxed geometry, with properties calculated at the GGA-PBE level.

Calculated values
- Formation energy from the elements: 1.099 eV per atom
- M_tot: 5.09 μB per cell
- Total DFT energy (no corrections): -3.840 eV/atom

Cell lengths 4.9498, 4.9498, 4.9498 Å; angles 60.00, 60.00, 60.00 degrees
Fractional coordinates of all 3 atoms:
Cr 0.5000 0.5000 0.5000
Cu 0.7500 0.7500 0.7500
K 0.0000 0.0000 0.0000


[2]
Below is crystalline KCrCu at its relaxed geometry, with properties calculated at the GGA-PBE level.

Calculated values
- Formation energy from the elements: 1.512 eV per atom
- M_tot: 5.55 μB per cell
- Total DFT energy (no corrections): -3.427 eV/atom

Cell lengths 5.2144, 5.2144, 5.2144 Å; angles 60.00, 60.00, 60.00 degrees
Fractional coordinates of all 3 atoms:
Cr 0.0000 0.0000 0.0000
K 0.7500 0.7500 0.7500
Cu 0.5000 0.5000 0.5000


[3]
Below is crystalline K2CrCu at its relaxed geometry, with properties calculated at the GGA-PBE level.

Calculated values
- Formation energy from the elements: 0.695 eV per atom
- M_tot: 4.95 μB per cell
- Total DFT energy (no corrections): -3.283 eV/atom

Cell lengths 4.5214, 5.2771, 6.6962 Å; angles 66.67, 90.00, 90.00 degrees
Fractional coordinates of all 4 atoms:
Cu 0.5000 0.5792 0.7186
K 0.0000 0.9779 0.9183
K 0.5000 0.2749 0.3244
Cr 0.0000 0.6680 0.5386


> The lowest M_tot belongs to which entry?

K2CrCu


Copy entry 1 word for word.
Below is crystalline KCrCu at its relaxed geometry, with properties calculated at the GGA-PBE level.

Calculated values
- Formation energy from the elements: 1.099 eV per atom
- M_tot: 5.09 μB per cell
- Total DFT energy (no corrections): -3.840 eV/atom

Cell lengths 4.9498, 4.9498, 4.9498 Å; angles 60.00, 60.00, 60.00 degrees
Fractional coordinates of all 3 atoms:
Cr 0.5000 0.5000 0.5000
Cu 0.7500 0.7500 0.7500
K 0.0000 0.0000 0.0000


> Number 2 is which compound?

KCrCu


> Which value of M_tot does entry 1 give?

5.09 μB per cell